# 1
Below is a relaxed structure of LaCeTm2In4, with properties calculated at the PBE level.

Lattice parameters (Å, degrees): 5.394 5.394 9.362 73.26 73.26 60.00
Site moments in Bohr magnetons follow the coordinates.
Positions (direct):
1 In 0.624 0.624 0.128  0.01
2 In 0.126 0.126 0.622  0.01
3 In 0.376 0.376 0.872  0.01
4 In 0.874 0.874 0.378  0.01
5 Ce 0.500 0.500 0.500  0.81
6 Tm 0.250 0.250 0.250  0.01
7 Tm 0.750 0.750 0.750  0.01
8 La 0.000 0.000 0.000  -0.01

energy	-4.273	eV per atom
DFT formation energy	-0.43	eV per atom

***

# 2
Below is a relaxed structure of LaCeYIn, with properties calculated at the PBE level.

Lattice parameters (Å, degrees): 5.521 5.521 5.521 60.00 60.00 60.00
Site moments in Bohr magnetons follow the coordinates.
Positions (direct):
1 In 0.000 0.000 0.000  -0.01
2 La 0.750 0.750 0.750  0.00
3 Ce 0.500 0.500 0.500  0.35
4 Y 0.250 0.250 0.250  -0.01

energy	-5.105	eV per atom
DFT formation energy	-0.09	eV per atom

***

# 3
Below is a relaxed structure of Li2CeIn9, with properties calculated at the PBE level.

Lattice parameters (Å, degrees): 4.605 4.605 13.941 90.00 90.00 90.00
Site moments in Bohr magnetons follow the coordinates.
Positions (direct):
1 Li 0.000 0.000 0.329  0.00
2 Li 0.000 0.000 0.671  0.00
3 In 0.000 0.500 0.175  0.00
4 In 0.500 0.000 0.825  0.00
5 In 0.500 0.500 0.000  0.01
6 In 0.500 0.500 0.334  -0.01
7 In 0.500 0.000 0.175  0.00
8 In 0.500 0.000 0.500  0.00
9 In 0.500 0.500 0.666  -0.01
10 In 0.000 0.500 0.825  0.00
11 In 0.000 0.500 0.500  0.00
12 Ce 0.000 0.000 0.000  0.62

energy	-3.078	eV per atom
DFT formation energy	-0.21	eV per atom

***

# 4
Below is a relaxed structure of Li5CeIn6, with properties calculated at the PBE level.

Lattice parameters (Å, degrees): 4.791 7.629 7.550 90.00 90.00 71.71
Site moments in Bohr magnetons follow the coordinates.
Positions (direct):
1 Li 0.677 0.645 0.000  0.00
2 Li 0.331 0.337 0.500  0.00
3 Li 0.669 0.663 0.500  0.00
4 Li 0.323 0.355 0.000  0.00
5 Li 0.000 0.000 0.500  0.00
6 In 0.172 0.657 0.271  0.00
7 In 0.828 0.343 0.271  0.00
8 In 0.500 0.000 0.283  0.01
9 In 0.172 0.657 0.729  0.00
10 In 0.828 0.343 0.729  0.00
11 In 0.500 0.000 0.717  0.01
12 Ce 0.000 0.000 0.000  0.77

energy	-2.935	eV per atom
DFT formation energy	-0.27	eV per atom

***

# 5
Below is a relaxed structure of Li4Ce3In4, with properties calculated at the PBE level.

Lattice parameters (Å, degrees): 5.014 6.189 9.170 90.00 90.00 113.89
Site moments in Bohr magnetons follow the coordinates.
Positions (direct):
1 Ce 0.409 0.818 0.754  0.82
2 Ce 0.258 0.517 0.000  0.70
3 Ce 0.409 0.818 0.246  0.82
4 In 0.955 0.909 0.000  0.01
5 In 0.900 0.799 0.500  0.00
6 In 0.728 0.455 0.763  0.00
7 In 0.728 0.455 0.237  0.00
8 Li 0.619 0.238 0.500  0.00
9 Li 0.107 0.213 0.311  0.00
10 Li 0.580 0.161 0.000  0.01
11 Li 0.107 0.213 0.689  0.00

energy	-3.541	eV per atom
DFT formation energy	-0.23	eV per atom

***

# 6
Below is a relaxed structure of LiCeIn, with properties calculated at the PBE level.

Lattice parameters (Å, degrees): 3.239 5.105 5.105 120.00 90.00 90.00
Site moments in Bohr magnetons follow the coordinates.
Positions (direct):
1 Li 0.834 0.000 0.000  0.01
2 Ce 0.333 0.333 0.667  0.92
3 In 0.833 0.667 0.333  -0.03

energy	-3.766	eV per atom
DFT formation energy	-0.24	eV per atom

***

# 7
Below is a relaxed structure of Li2CeIn, with properties calculated at the PBE level.

Lattice parameters (Å, degrees): 4.952 4.953 4.952 120.02 89.97 120.01
Site moments in Bohr magnetons follow the coordinates.
Positions (direct):
1 Ce 0.250 0.500 0.750  0.85
2 In 0.750 0.500 0.250  -0.03
3 Li 0.000 0.000 0.000  0.01
4 Li 0.500 0.000 0.500  0.01

energy	-3.316	eV per atom
DFT formation energy	-0.19	eV per atom

***

# 8
Below is a relaxed structure of Li2CeIn4, with properties calculated at the PBE level.

Lattice parameters (Å, degrees): 4.744 4.744 7.537 90.00 90.00 90.00
Site moments in Bohr magnetons follow the coordinates.
Positions (direct):
1 Li 0.000 0.000 0.000  0.00
2 Li 0.500 0.500 0.500  0.00
3 In 0.000 0.500 0.293  0.00
4 In 0.500 0.000 0.293  0.00
5 In 0.000 0.500 0.707  0.00
6 In 0.500 0.000 0.707  0.00
7 Ce 0.500 0.500 0.000  0.72

energy	-3.210	eV per atom
DFT formation energy	-0.25	eV per atom

***

# 9
Below is a relaxed structure of Li3Ce2In4, with properties calculated at the PBE level.

Lattice parameters (Å, degrees): 6.193 8.347 8.839 90.00 110.51 90.00
Site moments in Bohr magnetons follow the coordinates.
Positions (direct):
1 In 0.814 0.250 0.127  0.01
2 In 0.686 0.750 0.873  0.01
3 In 0.674 0.515 0.349  0.00
4 In 0.326 0.485 0.651  0.00
5 In 0.186 0.750 0.873  0.01
6 In 0.174 0.985 0.349  0.00
7 In 0.826 0.015 0.651  0.00
8 In 0.314 0.250 0.127  0.01
9 Ce 0.104 0.600 0.208  0.92
10 Ce 0.896 0.400 0.792  0.92
11 Ce 0.604 0.900 0.208  0.92
12 Ce 0.396 0.100 0.792  0.92
13 Li 0.017 0.750 0.534  0.00
14 Li 0.500 0.500 0.000  0.00
15 Li 0.983 0.250 0.466  0.00
16 Li 0.000 0.000 0.000  0.00
17 Li 0.483 0.250 0.466  0.00
18 Li 0.517 0.750 0.534  0.00

energy	-3.433	eV per atom
DFT formation energy	-0.26	eV per atom

***

# 10
Below is a relaxed structure of LiCeIn, with properties calculated at the PBE level.

Lattice parameters (Å, degrees): 3.161 4.976 5.593 116.41 106.42 90.00
Site moments in Bohr magnetons follow the coordinates.
Positions (direct):
1 Li 0.330 0.330 0.659  0.01
2 Ce 0.006 0.006 0.013  1.05
3 In 0.664 0.664 0.328  -0.01

energy	-3.641	eV per atom
DFT formation energy	-0.11	eV per atom

***

# 11
Below is a relaxed structure of LiCe4In12, with properties calculated at the PBE level.

Lattice parameters (Å, degrees): 8.255 8.255 8.255 109.47 109.47 109.47
Site moments in Bohr magnetons follow the coordinates.
Positions (direct):
1 In 0.500 0.750 0.250  0.01
2 In 0.000 0.282 0.282  0.01
3 In 0.718 0.000 0.718  0.01
4 In 0.000 0.718 0.718  0.01
5 In 0.750 0.500 0.250  0.01
6 In 0.718 0.718 0.000  0.01
7 In 0.282 0.282 0.000  0.01
8 In 0.282 0.000 0.282  0.01
9 In 0.250 0.500 0.750  0.01
10 In 0.750 0.250 0.500  0.01
11 In 0.250 0.750 0.500  0.01
12 In 0.500 0.250 0.750  0.01
13 Ce 0.500 0.000 0.000  0.82
14 Ce 0.000 0.000 0.500  0.82
15 Ce 0.500 0.500 0.500  0.82
16 Ce 0.000 0.500 0.000  0.82
17 Li 0.000 0.000 0.000  -0.01

energy	-3.822	eV per atom
DFT formation energy	-0.38	eV per atom

***

# 12
Below is a relaxed structure of Li5CeIn7, with properties calculated at the PBE level.

Lattice parameters (Å, degrees): 5.831 7.514 7.514 81.05 67.17 67.17
Site moments in Bohr magnetons follow the coordinates.
Positions (direct):
1 Ce 0.995 0.005 0.005  0.92
2 Li 0.006 0.500 0.999  0.00
3 Li 0.496 0.999 0.500  0.00
4 Li 0.006 0.999 0.500  0.00
5 Li 0.729 0.771 0.771  0.00
6 Li 0.496 0.500 0.999  0.00
7 In 0.274 0.226 0.226  0.00
8 In 0.511 0.193 0.786  0.01
9 In 0.511 0.786 0.193  0.01
10 In 0.341 0.659 0.659  0.00
11 In 0.655 0.345 0.345  0.00
12 In 0.991 0.668 0.351  0.01
13 In 0.991 0.351 0.668  0.01

energy	-2.949	eV per atom
DFT formation energy	-0.28	eV per atom

***

# 13
Below is a relaxed structure of LiCeIn6, with properties calculated at the PBE level.

Lattice parameters (Å, degrees): 4.655 6.594 6.594 90.14 90.00 90.00
Site moments in Bohr magnetons follow the coordinates.
Positions (direct):
1 In 0.500 0.500 0.000  0.01
2 In 0.000 0.756 0.244  0.01
3 In 0.000 0.244 0.756  0.01
4 In 0.000 0.756 0.756  0.01
5 In 0.000 0.244 0.244  0.01
6 In 0.500 0.000 0.500  0.01
7 Li 0.500 0.000 0.000  0.00
8 Ce 0.500 0.500 0.500  0.75

energy	-3.261	eV per atom
DFT formation energy	-0.23	eV per atom

***

Number 1: D(E_F) 1.12 states/eV per atom. Number 2: D(E_F) 1.89 states/eV per atom. Number 3: D(E_F) 0.65 states/eV per atom. Number 4: D(E_F) 0.83 states/eV per atom. Number 5: D(E_F) 1.49 states/eV per atom. Number 6: D(E_F) 2.38 states/eV per atom. Number 7: D(E_F) 1.70 states/eV per atom. Number 8: D(E_F) 1.24 states/eV per atom. Number 9: D(E_F) 1.97 states/eV per atom. Number 10: D(E_F) 2.29 states/eV per atom. Number 11: D(E_F) 1.49 states/eV per atom. Number 12: D(E_F) 0.92 states/eV per atom. Number 13: D(E_F) 1.11 states/eV per atom.